No. 1
A geometry-optimized TlOsBr2 structure, computed with PBE.

Unit cell a=6.809 b=6.809 c=6.809 alpha=99.40 beta=99.40 gamma=132.33
Fractional positions:
Tl 0.000 0.000 0.000
Tl 0.750 0.250 0.500
Os 0.250 0.750 0.500
Os 0.500 0.500 0.000
Br 0.250 0.625 0.125
Br 0.375 0.500 0.625
Br 0.500 0.125 0.875
Br 0.875 0.750 0.375

Properties
The space-group type is I-42d. The calculation puts the volume at 213.4 Å³/cell. The value obtained for the energy above the most stable polymorph in this dataset is 0.0889 eV per atom. For the final energy, the calculation gives -3.87 eV/atom. The calculation puts the formation energy from raw total energies at 0.367 eV per atom.

=====

No. 2
A geometry-optimized CeDyAu3 structure, computed with PBE.

Unit cell a=14.272 b=14.272 c=4.646 alpha=90.00 beta=90.00 gamma=165.46
Fractional positions:
Ce 0.073 0.927 0.750
Ce 0.927 0.073 0.250
Dy 0.207 0.793 0.250
Dy 0.793 0.207 0.750
Au 0.315 0.685 0.250
Au 0.377 0.623 0.750
Au 0.474 0.526 0.750
Au 0.526 0.474 0.250
Au 0.623 0.377 0.250
Au 0.685 0.315 0.750

Properties
The space-group type is Cmcm. The formation energy comes out at -0.754 eV/atom. The calculation puts the volume at 237.6 Å³/cell. For the final energy, the calculation gives -4.83 eV/atom.

=====

No. 3
A geometry-optimized AcCe2Zn6 structure, computed with PBE.

Unit cell a=8.044 b=8.044 c=3.600 alpha=90.00 beta=90.00 gamma=120.00
Fractional positions:
Ac 0.000 0.000 0.000
Ce 0.333 0.667 0.000
Ce 0.667 0.333 0.000
Zn 0.000 0.340 0.500
Zn 0.000 0.660 0.500
Zn 0.340 0.000 0.500
Zn 0.340 0.340 0.500
Zn 0.660 0.000 0.500
Zn 0.660 0.660 0.500

Properties
The space-group type is P6/mmm. The formation energy comes out at -0.265 eV/atom. The calculation puts the volume at 201.7 Å³/cell. For the final energy, the calculation gives -2.89 eV/atom.

=====

Question: volume of number 1 (TlOsBr2)?
Answer: 213.4 Å³/cell